No. 1
Entry from Alexandria via LeMat-Bulk: a relaxed structure of LiFeCo (PBE).

Unit cell a=3.983 b=4.037 c=4.711 alpha=89.96 beta=115.02 gamma=90.14
Sites, in units of the cell vectors:
Li 0.165 0.299 0.325
Li 0.821 0.299 0.637
Co 0.495 0.299 0.986
Co 0.654 0.799 0.303
Fe 0.330 0.799 0.656
Fe 0.995 0.799 0.986

Results
* excess energy over the best structure of this formula in the dataset: 39.9 meV/atom


No. 2
Entry from Alexandria via LeMat-Bulk: a relaxed structure of Ce7Sn3Pb (PBE).

Unit cell a=6.093 b=8.206 c=8.206 alpha=95.30 beta=111.80 gamma=111.80
Sites, in units of the cell vectors:
Ce 0.645 0.903 0.387
Ce 0.355 0.613 0.097
Ce 0.355 0.097 0.613
Ce 0.851 0.851 0.851
Ce 0.000 0.500 0.500
Ce 0.645 0.387 0.903
Ce 0.149 0.149 0.149
Sn 0.000 0.761 0.239
Sn 0.000 0.239 0.761
Sn 0.500 0.000 0.000
Pb 0.500 0.500 0.500

Results
* total DFT energy (no corrections): -61.17 eV for the cell shown


No. 3
Entry from Alexandria via LeMat-Bulk: a relaxed structure of K2UTiSe5 (PBE).

Unit cell a=4.288 b=9.721 c=14.075 alpha=90.00 beta=90.00 gamma=102.74
Sites, in units of the cell vectors:
Se 0.696 0.391 0.157
Se 0.953 0.906 0.516
Se 0.506 0.013 0.783
Se 0.494 0.987 0.283
Se 0.047 0.094 0.016
Se 0.304 0.609 0.657
Se 0.690 0.379 0.889
Se 0.659 0.318 0.508
Se 0.341 0.682 0.008
Se 0.310 0.621 0.389
K 0.122 0.243 0.681
K 0.878 0.757 0.181
K 0.874 0.748 0.833
K 0.126 0.252 0.333
Ti 0.437 0.874 0.427
Ti 0.563 0.126 0.927
U 0.797 0.594 0.529
U 0.203 0.406 0.029

Results
* formation energy without anion corrections: -10.53 eV/f.u.


No. 4
Entry from Alexandria via LeMat-Bulk: a relaxed structure of AlAs3 (PBE).

Unit cell a=4.882 b=4.882 c=4.882 alpha=90.00 beta=90.00 gamma=90.00
Sites, in units of the cell vectors:
Al 0.000 0.000 0.000
As 0.000 0.000 0.500
As 0.000 0.500 0.000
As 0.500 0.000 0.000

Results
* excess energy over the best structure of this formula in the dataset: 798.3 meV/atom


No. 5
Entry from Alexandria via LeMat-Bulk: a relaxed structure of Pu8Ga2C (PBE).

Unit cell a=5.040 b=6.017 c=8.240 alpha=104.33 beta=107.81 gamma=90.00
Sites, in units of the cell vectors:
Pu 0.212 0.173 0.424
Pu 0.003 0.234 0.007
Pu 0.361 0.076 0.721
Pu 0.596 0.402 0.191
Pu 0.404 0.598 0.809
Pu 0.788 0.827 0.576
Pu 0.639 0.924 0.279
Pu 0.997 0.766 0.993
C 0.500 0.000 0.000
Ga 0.184 0.652 0.368
Ga 0.816 0.348 0.632

Results
* total DFT energy (no corrections): -129.55 eV for the cell shown


No. 6
Entry from Alexandria via LeMat-Bulk: a relaxed structure of NaTmTa4N8 (PBE).

Unit cell a=6.314 b=6.314 c=6.443 alpha=60.66 beta=60.66 gamma=60.00
Sites, in units of the cell vectors:
N 0.736 0.736 0.280
N 0.736 0.248 0.280
N 0.759 0.759 0.724
N 0.251 0.797 0.701
N 0.237 0.237 0.289
N 0.251 0.251 0.701
N 0.248 0.736 0.280
N 0.797 0.251 0.701
Na 0.996 0.996 0.012
Ta 0.002 0.002 0.510
Ta 0.485 0.002 0.510
Ta 0.622 0.622 0.134
Ta 0.002 0.485 0.510
Tm 0.378 0.378 0.867

Results
* formation energy without anion corrections: -13.65 eV/f.u.


No. 7
Entry from Alexandria via LeMat-Bulk: a relaxed structure of K3Pu3TaTe8 (PBE).

Unit cell a=8.841 b=8.824 c=9.851 alpha=116.41 beta=89.99 gamma=120.06
Sites, in units of the cell vectors:
K 0.500 0.500 0.000
K 0.000 0.000 0.000
K 0.000 0.500 0.000
Te 0.760 0.978 0.697
Te 0.739 0.477 0.715
Te 0.218 0.978 0.697
Te 0.781 0.562 0.304
Te 0.261 0.523 0.285
Te 0.219 0.438 0.696
Te 0.240 0.022 0.303
Te 0.782 0.022 0.303
Pu 0.500 0.500 0.500
Pu 0.500 0.000 0.500
Pu 0.000 0.500 0.500
Ta 0.000 0.000 0.500

Results
* formation energy without anion corrections: -13.25 eV/f.u.


No. 8
Entry from Alexandria via LeMat-Bulk: a relaxed structure of La2BiIr (PBE).

Unit cell a=3.639 b=3.639 c=8.397 alpha=90.00 beta=90.00 gamma=90.00
Sites, in units of the cell vectors:
Bi 0.500 0.500 0.500
La 0.000 0.000 0.206
La 0.000 0.000 0.794
Ir 0.500 0.500 0.000

Results
* total DFT energy (no corrections): -25.48 eV for the cell shown


Calculated volume for the records above, in order: 11.442 30.989 31.790 29.087 20.882 13.101 38.045 27.804 A^3/atom